# 1
# NdSi2Ru

An optimized crystal structure of NdSi2Ru (GGA-PBEsol, Alexandria).

a b c (Å): 4.038 4.455 8.219
angles (deg): 102.15 90.00 90.00
Element x y z (fractional)
Nd 0.250 0.586 0.201
Nd 0.750 0.414 0.799
Si 0.750 0.666 0.491
Si 0.250 0.964 0.908
Si 0.750 0.036 0.092
Si 0.250 0.334 0.509
Ru 0.250 0.882 0.612
Ru 0.750 0.118 0.388

Output
* space group: No. 11
* energy relative to the elements, uncorrected: -0.878 eV per atom


# 2
# Li2BrCl

An optimized crystal structure of Li2BrCl (GGA-PBEsol, Alexandria).

a b c (Å): 5.631 5.631 6.867
angles (deg): 114.20 114.20 90.00
Element x y z (fractional)
Li 0.398 0.875 0.250
Li 0.852 0.375 0.250
Li 0.625 0.602 0.750
Li 0.125 0.148 0.750
Cl 0.750 0.250 0.500
Cl 0.500 0.500 0.000
Br 0.000 0.000 0.000
Br 0.250 0.750 0.500

Output
* space group: No. 122
* energy relative to the elements, uncorrected: -1.669 eV per atom


# 3
# YReAu

An optimized crystal structure of YReAu (GGA-PBEsol, Alexandria).

a b c (Å): 4.551 4.551 4.551
angles (deg): 60.00 60.00 60.00
Last column: magnetic moment on the atom in μB.
Element x y z (fractional)
Re 0.000 0.000 0.000  1.38
Y 0.500 0.500 0.500  0.01
Au 0.250 0.250 0.250  0.13

Output
* energy of formation from the pure elements: 0.681 eV/atom
* space group: No. 216